## i
The following is a PBE calculation of an optimized crystal structure of Ac3Ga4Rh2, from the Alexandria database.

Cell: 11.174 4.655 8.677 Å, 90.00 102.83 90.00°
Space group C2/m (No. 12)
Inequivalent atoms, fractional coordinates:
Ac1 0.000 0.000 0.000
Ac2 0.114 0.500 0.698
Ga1 0.112 0.000 0.409
Ga2 0.218 0.500 0.084
Rh1 0.192 0.500 0.369

Calculated values
- DOS(E_F) (states/eV/cell) = 14.915
- crystal system = monoclinic
- M_tot (μB/cell) = 0.00

=====

## ii
The following is a PBE calculation of an optimized crystal structure of Ac3Ga4Rh2, from the Alexandria database.

Cell: 11.948 4.320 8.977 Å, 90.00 104.62 90.00°
Space group C2/m (No. 12)
Inequivalent atoms, fractional coordinates:
Ac1 0.000 0.000 0.000
Ac2 0.179 0.500 0.654
Ga1 0.043 0.000 0.375
Ga2 0.227 0.500 0.064
Rh1 0.112 0.500 0.273

Calculated values
- DOS(E_F) (states/eV/cell) = 13.094
- crystal system = monoclinic
- M_tot (μB/cell) = 0.00

=====

Which structure is the least stable? The one labeled i.

=====

## i
The following is a PBE calculation of an optimized crystal structure of Ac3GaRh3, from the Alexandria database.

Cell: 8.8671 8.8671 5.9592 Å, 90.00 90.00 120.00°
Space group P6_3/m (No. 176)
Inequivalent atoms, fractional coordinates:
Ac1 0.0612 0.7030 0.2500
Ga1 0.3333 0.6667 0.7500
Rh1 0.0653 0.6865 0.7500

Calculated values
- DOS(E_F) (states/eV/cell) = 6.255
- crystal system = hexagonal
- M_tot (μB/cell) = 0.00

=====

## ii
The following is a PBE calculation of an optimized crystal structure of Ac3GaRh3, from the Alexandria database.

Cell: 4.220 11.305 14.654 Å, 90.00 90.00 90.00°
Space group Cmcm (No. 63)
Inequivalent atoms, fractional coordinates:
Ac1 0.000 0.020 0.250
Ac2 0.000 0.292 0.106
Ga1 0.000 0.000 0.000
Rh1 0.000 0.263 0.750
Rh2 0.000 0.428 0.585

Calculated values
- DOS(E_F) (states/eV/cell) = 16.616
- crystal system = orthorhombic
- M_tot (μB/cell) = 0.00

=====

Which structure is the least stable? The one labeled i.